Ba4I5N: optimized geometry, PBE.

a b c (Å): 20.844 4.734 9.472
angles (deg): 90.00 104.07 90.00
Space group C2/m (No. 12)
Unique sites:
Ba (0.001, 0.000, 0.286)
Ba (0.139, 0.500, 0.578)
I (0.000, 0.500, 0.000)
I (0.167, 0.000, 0.845)
I (0.171, 0.000, 0.334)
N (0.000, 0.500, 0.500)

---

Ba12I3N5: optimized geometry, PBE.

a b c (Å): 18.209 18.209 18.209
angles (deg): 90.00 90.00 90.00
Space group Ia-3d (No. 230)
Unique sites:
Ba (0.038, 0.047, 0.648)
I (0.000, 0.250, 0.125)
N (0.000, 0.000, 0.000)
N (0.000, 0.250, 0.375)

---

Ba4I3N4: optimized geometry, PBE.

a b c (Å): 5.051 8.498 16.425
angles (deg): 90.00 90.00 90.00
Space group Immm (No. 71)
Unique sites:
Ba (0.000, 0.000, 0.203)
Ba (0.000, 0.242, 0.500)
I (0.000, 0.000, 0.000)
I (0.000, 0.500, 0.125)
N (0.000, 0.426, 0.363)

---

no.,density (g/cm3),total moment (μB/f.u.),formation energy without anion corrections (eV per atom)
1,4.4,0.11,-1.39
2,4.6,3.65,-0.53
3,4.6,1.70,-0.85